(P)
Density functional theory data (GGA-PBE) for a relaxed structure of ScWCl.

It has space group F-43m (No. 216), with a = 6.076 Å, b = 6.076 Å, c = 6.076 Å, α = 90.00°, β = 90.00° and γ = 90.00°. Symmetry generates all atoms from Sc at (0.000, 0.000, 0.000), W at (0.000, 0.000, 0.500) and Cl at (0.250, 0.250, 0.250).

Its magnetic moment is 1.08 μB per formula unit.

(Q)
Density functional theory data (GGA-PBE) for a relaxed structure of ScWCl.

It has space group I4mm (No. 107), with a = 2.907 Å, b = 2.907 Å, c = 15.763 Å, α = 90.00°, β = 90.00° and γ = 90.00°. Symmetry generates all atoms from Sc at (0.000, 0.000, 0.000), W at (0.000, 0.000, 0.635) and Cl at (0.000, 0.000, 0.392).

Its magnetic moment is 0.00 μB per formula unit.

Which is the most stable structure? (Q) is the most stable.

(P)
Density functional theory data (GGA-PBE) for a relaxed structure of ScWCl.

It has space group P-6m2 (No. 187), with a = 4.5857 Å, b = 4.5857 Å, c = 2.9081 Å, α = 90.00°, β = 90.00° and γ = 120.00°. Symmetry generates all atoms from Sc at (0.0000, 0.0000, 0.0000), W at (0.6667, 0.3333, 0.5000) and Cl at (0.3333, 0.6667, 0.5000).

Its magnetic moment is 0.00 μB per formula unit.

(Q)
Density functional theory data (GGA-PBE) for a relaxed structure of ScWCl.

It has space group P3m1 (No. 156), with a = 3.0929 Å, b = 3.0929 Å, c = 7.9458 Å, α = 90.00°, β = 90.00° and γ = 120.00°. Symmetry generates all atoms from Sc at (0.0000, 0.0000, 0.0000), W at (0.6667, 0.3333, 0.2798) and Cl at (0.3333, 0.6667, 0.7748).

Its magnetic moment is 0.00 μB per formula unit.

(R)
Density functional theory data (GGA-PBE) for a relaxed structure of ScWCl.

It has space group Fmm2 (No. 42), with a = 3.744 Å, b = 4.455 Å, c = 16.123 Å, α = 90.00°, β = 90.00° and γ = 90.00°. Symmetry generates all atoms from Sc at (0.000, 0.000, 0.000), W at (0.000, 0.000, 0.633) and Cl at (0.000, 0.000, 0.391).

Its magnetic moment is 0.00 μB per formula unit.

Which is the most stable structure? (Q) is the most stable.

(P)
Density functional theory data (GGA-PBE) for a relaxed structure of Sc3WCl.

It has space group Pm-3m (No. 221), with a = 5.178 Å, b = 5.178 Å, c = 5.178 Å, α = 90.00°, β = 90.00° and γ = 90.00°. Symmetry generates all atoms from Sc at (0.000, 0.000, 0.500), W at (0.000, 0.000, 0.000) and Cl at (0.500, 0.500, 0.500).

Its magnetic moment is 0.00 μB per formula unit.

(Q)
Density functional theory data (GGA-PBE) for a relaxed structure of Sc3WCl.

It has space group Pm-3m (No. 221), with a = 4.689 Å, b = 4.689 Å, c = 4.689 Å, α = 90.00°, β = 90.00° and γ = 90.00°. Symmetry generates all atoms from Sc at (0.000, 0.000, 0.500), W at (0.500, 0.500, 0.500) and Cl at (0.000, 0.000, 0.000).

Its magnetic moment is 0.00 μB per formula unit.

Which is the most stable structure? (Q) is the most stable.

(P)
Density functional theory data (GGA-PBE) for a relaxed structure of Y2ScCl.

It has space group Cm (No. 8), with a = 12.361 Å, b = 3.336 Å, c = 5.768 Å, α = 90.00°, β = 117.70° and γ = 90.00°. Symmetry generates all atoms from Y at (0.000, 0.000, 0.000), Y at (0.207, 0.000, 0.706), Sc at (0.278, 0.500, 0.276) and Cl at (0.481, 0.000, 0.476).

Its magnetic moment is 0.00 μB per formula unit.

(Q)
Density functional theory data (GGA-PBE) for a relaxed structure of Y2ScCl.

It has space group P-4m2 (No. 115), with a = 5.598 Å, b = 5.598 Å, c = 3.567 Å, α = 90.00°, β = 90.00° and γ = 90.00°. Symmetry generates all atoms from Y at (0.000, 0.500, 0.043), Sc at (0.000, 0.000, 0.500) and Cl at (0.500, 0.500, 0.000).

Its magnetic moment is 0.00 μB per formula unit.

(R)
Density functional theory data (GGA-PBE) for a relaxed structure of Y2ScCl.

It has space group P4/mmm (No. 123), with a = 3.390 Å, b = 3.390 Å, c = 9.148 Å, α = 90.00°, β = 90.00° and γ = 90.00°. Symmetry generates all atoms from Y at (0.000, 0.000, 0.238), Sc at (0.500, 0.500, 0.500) and Cl at (0.500, 0.500, 0.000).

Its magnetic moment is 0.00 μB per formula unit.

(S)
Density functional theory data (GGA-PBE) for a relaxed structure of Y2ScCl.

It has space group Cmmm (No. 65), with a = 3.851 Å, b = 5.710 Å, c = 9.669 Å, α = 90.00°, β = 90.00° and γ = 90.00°. Symmetry generates all atoms from Y at (0.000, 0.000, 0.235), Sc at (0.000, 0.500, 0.500) and Cl at (0.000, 0.500, 0.000).

Its magnetic moment is 0.00 μB per formula unit.

Which is the most stable structure? (S) is the most stable.